{"formula": "NaCaScBe2", "functional": "PBE-GGA", "state": "optimized geometry", "lattice_angstrom": [[4.716, 0.000, 0.000], [0.000, 4.716, 0.000], [0.000, 0.000, 4.870]], "species": ["Na", "Ca", "Sc", "Be", "Be"], "fractional_positions": [[0.000, 0.000, 0.000], [0.000, 0.000, 0.500], [0.500, 0.500, 0.500], [0.000, 0.500, 0.000], [0.500, 0.000, 0.000]], "e_tot_ev_per_atom": -2.29}


{"formula": "NaCa2BeSi", "functional": "PBE-GGA", "state": "optimized geometry", "lattice_angstrom": [[5.615, 0.000, 0.000], [0.000, 5.615, 0.000], [0.000, 0.000, 4.797]], "species": ["Na", "Ca", "Ca", "Be", "Si"], "fractional_positions": [[0.000, 0.000, 0.000], [0.000, 0.500, 0.000], [0.500, 0.000, 0.000], [0.500, 0.500, 0.500], [0.000, 0.000, 0.500]], "raw_formation_energy_ev_per_atom": 0.97, "e_tot_ev_per_atom": -1.92}


{"formula": "Na2CaTaBe", "functional": "PBE-GGA", "state": "optimized geometry", "lattice_angstrom": [[5.173, 0.000, 0.000], [0.000, 5.173, 0.000], [0.000, 0.000, 4.800]], "species": ["Na", "Na", "Ca", "Ta", "Be"], "fractional_positions": [[0.000, 0.500, 0.000], [0.500, 0.000, 0.000], [0.000, 0.000, 0.500], [0.500, 0.500, 0.500], [0.500, 0.500, 0.000]], "e_tot_ev_per_atom": -3.09}


{"formula": "NaCaBe2V", "functional": "PBE-GGA", "state": "optimized geometry", "lattice_angstrom": [[4.640, 0.000, 0.000], [0.000, 4.640, 0.000], [0.000, 0.000, 5.069]], "species": ["Na", "Ca", "Be", "Be", "V"], "fractional_positions": [[0.000, 0.000, 0.000], [0.500, 0.500, 0.000], [0.000, 0.500, 0.500], [0.500, 0.000, 0.500], [0.000, 0.000, 0.500]], "relative_energy_ev_per_atom": 0.000, "e_tot_ev_per_atom": -3.01}